Material: RbAl2RuS
Method: DFT, PBE
State: optimized geometry

Cell: 4.7793 4.7793 5.1197 Å, 90.00 90.00 90.00°
Positions (direct):
Rb 0.0000 0.0000 0.0000
Al 0.0000 0.5000 0.5000
Al 0.5000 0.0000 0.5000
Ru 0.5000 0.5000 0.5000
S 0.5000 0.5000 0.0000

**Crystal system**: tetragonal
**Formation energy from raw total energies**: -0.3 eV per formula unit
**Raw total energy**: -22.1 eV for the cell shown


Material: Ca6Tl8Hg
Method: DFT, PBE
State: optimized geometry

Cell: 8.4696 8.4696 8.4696 Å, 65.20 65.20 65.20°
Positions (direct):
Ca 0.0002 0.2430 0.5810
Ca 0.9998 0.7570 0.4190
Ca 0.2430 0.5810 0.0002
Ca 0.4190 0.9998 0.7570
Ca 0.5810 0.0002 0.2430
Ca 0.7570 0.4190 0.9998
Tl 0.1754 0.4274 0.7507
Tl 0.2493 0.8246 0.5726
Tl 0.3648 0.3648 0.3648
Tl 0.4274 0.7507 0.1754
Tl 0.5726 0.2493 0.8246
Tl 0.6352 0.6352 0.6352
Tl 0.7507 0.1754 0.4274
Tl 0.8246 0.5726 0.2493
Hg 0.0000 0.0000 0.0000

**Formation enthalpy at 0 K**: -0.248 eV per atom
**Crystal system**: trigonal
**Raw total energy**: -35.0 eV for the cell shown


Material: Pm2PuRu
Method: DFT, PBE
State: optimized geometry

Cell: 4.1104 5.1834 11.3474 Å, 90.00 90.00 90.00°
Positions (direct):
Pm 0.0000 0.0000 0.1716
Pm 0.0000 0.0000 0.8284
Pm 0.5000 0.5000 0.3284
Pm 0.5000 0.5000 0.6716
Pu 0.0000 0.0000 0.5000
Pu 0.5000 0.5000 0.0000
Ru 0.0000 0.5000 0.5000
Ru 0.5000 0.0000 0.0000

**Formation enthalpy at 0 K**: -0.017 eV per atom
**Crystal system**: orthorhombic
**Raw total energy**: -66.4 eV for the cell shown


Material: CaDyHo2As4
Method: DFT, PBE
State: optimized geometry

Cell: 7.1755 4.1223 7.1820 Å, 90.00 109.27 90.00°
Positions (direct):
Ca 0.0000 0.0000 0.0000
Dy 0.5000 0.5000 0.0000
Ho 0.0000 0.5000 0.5000
Ho 0.5000 0.0000 0.5000
As 0.2524 0.0000 0.7461
As 0.2572 0.5000 0.2581
As 0.7428 0.5000 0.7419
As 0.7476 0.0000 0.2539

**Formation enthalpy at 0 K**: -1.368 eV per atom
**Crystal system**: monoclinic
**Raw total energy**: -45.3 eV for the cell shown


Material: As2H2Pd7
Method: DFT, PBE
State: optimized geometry

Cell: 5.6011 5.6011 5.0982 Å, 100.72 100.72 89.82°
Positions (direct):
As 0.2218 0.7782 0.0000
As 0.7782 0.2218 0.0000
H 0.2183 0.2183 0.4401
H 0.7817 0.7817 0.5599
Pd 0.0000 0.0000 0.5000
Pd 0.1325 0.4950 0.2814
Pd 0.3623 0.3623 0.7788
Pd 0.4950 0.1325 0.2814
Pd 0.5050 0.8675 0.7186
Pd 0.6377 0.6377 0.2212
Pd 0.8675 0.5050 0.7186

**Crystal system**: monoclinic
**Raw total energy**: -54.6 eV for the cell shown


Material: KGa2I3
Method: DFT, PBE
State: optimized geometry

Cell: 8.1489 4.7393 12.7360 Å, 90.00 102.37 90.00°
Positions (direct):
K 0.0322 0.2500 0.3297
K 0.9678 0.7500 0.6703
Ga 0.2529 0.2500 0.9946
Ga 0.4816 0.2500 0.6765
Ga 0.5184 0.7500 0.3235
Ga 0.7471 0.7500 0.0054
I 0.1466 0.7500 0.1516
I 0.2713 0.7500 0.5052
I 0.3750 0.7500 0.8430
I 0.6250 0.2500 0.1570
I 0.7287 0.2500 0.4948
I 0.8534 0.2500 0.8484

**Crystal system**: monoclinic
**Formation energy from raw total energies**: -4.1 eV per formula unit
**Raw total energy**: -31.9 eV for the cell shown


Material: ZrBeCl2
Method: DFT, PBE
State: optimized geometry

Cell: 5.8481 7.7876 3.1753 Å, 90.00 90.00 90.00°
Positions (direct):
Zr 0.0000 0.0000 0.0000
Zr 0.5000 0.5000 0.0000
Be 0.0000 0.5000 0.0000
Be 0.5000 0.0000 0.0000
Cl 0.2500 0.2500 0.5000
Cl 0.2500 0.7500 0.5000
Cl 0.7500 0.2500 0.5000
Cl 0.7500 0.7500 0.5000

**Crystal system**: orthorhombic
**Formation energy from raw total energies**: 0.3 eV per formula unit
**Raw total energy**: -31.4 eV for the cell shown


Material: NaCu2TeS4
Method: DFT, PBE
State: optimized geometry

Cell: 5.7703 5.7703 11.0466 Å, 90.00 90.00 90.00°
Positions (direct):
Na 0.0000 0.0000 0.0000
Na 0.5000 0.5000 0.5000
Cu 0.0000 0.5000 0.2500
Cu 0.0000 0.5000 0.7500
Cu 0.5000 0.0000 0.2500
Cu 0.5000 0.0000 0.7500
Te 0.0000 0.0000 0.5000
Te 0.5000 0.5000 0.0000
S 0.2347 0.2347 0.3476
S 0.2347 0.7653 0.6524
S 0.2653 0.2653 0.8476
S 0.2653 0.7347 0.1524
S 0.7347 0.2653 0.1524
S 0.7347 0.7347 0.8476
S 0.7653 0.2347 0.6524
S 0.7653 0.7653 0.3476

**Crystal system**: tetragonal
**Formation energy from raw total energies**: -1.9 eV per formula unit
**Raw total energy**: -62.0 eV for the cell shown


Material: RbTaRu2I
Method: DFT, PBE
State: optimized geometry

Cell: 4.7957 4.7957 5.0815 Å, 90.00 90.00 90.00°
Positions (direct):
Rb 0.0000 0.0000 0.0000
Ta 0.0000 0.0000 0.5000
Ru 0.0000 0.5000 0.0000
Ru 0.5000 0.0000 0.0000
I 0.5000 0.5000 0.5000

**Crystal system**: tetragonal
**Formation energy from raw total energies**: 15.8 eV per formula unit
**Raw total energy**: -17.1 eV for the cell shown


Material: YSnPd3
Method: DFT, PBE
State: optimized geometry

Cell: 4.9250 4.9250 4.9250 Å, 90.00 90.00 90.00°
Positions (direct):
Y 0.0000 0.0000 0.0000
Sn 0.5000 0.5000 0.5000
Pd 0.0000 0.5000 0.5000
Pd 0.5000 0.0000 0.5000
Pd 0.5000 0.5000 0.0000

**Formation enthalpy at 0 K**: -0.134 eV per atom
**Crystal system**: cubic
**Raw total energy**: -26.7 eV for the cell shown


Material: AuBr3N
Method: DFT, PBE
State: optimized geometry

Cell: 5.2862 5.2862 5.2862 Å, 90.00 90.00 90.00°
Positions (direct):
Au 0.0000 0.0000 0.0000
Br 0.0000 0.0000 0.5000
Br 0.0000 0.5000 0.0000
Br 0.5000 0.0000 0.0000
N 0.5000 0.5000 0.5000

**Crystal system**: cubic
**Formation energy from raw total energies**: 5.5 eV per formula unit
**Raw total energy**: -11.1 eV for the cell shown


Material: Ca2AlTe
Method: DFT, PBE
State: optimized geometry

Cell: 4.0282 4.0282 28.4986 Å, 90.00 90.00 120.00°
Positions (direct):
Ca 0.0000 0.0000 0.0000
Ca 0.0000 0.0000 0.2219
Ca 0.3333 0.6667 0.6667
Ca 0.3333 0.6667 0.8885
Ca 0.6667 0.3333 0.3333
Ca 0.6667 0.3333 0.5552
Al 0.0000 0.0000 0.7503
Al 0.3333 0.6667 0.4170
Al 0.6667 0.3333 0.0837
Te 0.0000 0.0000 0.4763
Te 0.3333 0.6667 0.1430
Te 0.6667 0.3333 0.8097

**Crystal system**: trigonal
**Formation energy from raw total energies**: -1.2 eV per formula unit
**Raw total energy**: -36.1 eV for the cell shown


Material: TaTeHN2
Method: DFT, PBE
State: optimized geometry

Cell: 4.1703 4.1703 3.2196 Å, 90.00 90.00 90.00°
Positions (direct):
Ta 0.0000 0.0000 0.0000
Te 0.5000 0.5000 0.0000
H 0.5000 0.5000 0.5000
N 0.0000 0.5000 0.5000
N 0.5000 0.0000 0.5000

**Crystal system**: tetragonal
**Raw total energy**: -27.2 eV for the cell shown


Material: Nd2Er2Sc7
Method: DFT, PBE
State: optimized geometry

Cell: 6.0875 6.0875 9.1225 Å, 90.22 90.22 115.97°
Positions (direct):
Nd 0.1681 0.1681 0.2488
Nd 0.8319 0.8319 0.7512
Er 0.2118 0.7882 0.5000
Er 0.7882 0.2118 0.5000
Sc 0.0512 0.6298 0.1461
Sc 0.3483 0.3483 0.6384
Sc 0.3702 0.9488 0.8539
Sc 0.5000 0.5000 0.0000
Sc 0.6298 0.0512 0.1461
Sc 0.6517 0.6517 0.3616
Sc 0.9488 0.3702 0.8539

**Formation enthalpy at 0 K**: 0.131 eV per atom
**Crystal system**: monoclinic
**Raw total energy**: -61.5 eV for the cell shown


Material: Zr2NpZn
Method: DFT, PBE
State: optimized geometry

Cell: 3.1962 3.1962 8.2998 Å, 90.00 90.00 90.00°
Positions (direct):
Zr 0.0000 0.0000 0.2222
Zr 0.0000 0.0000 0.7778
Np 0.5000 0.5000 0.5000
Zn 0.5000 0.5000 0.0000

**Formation enthalpy at 0 K**: 0.080 eV per atom
**Crystal system**: tetragonal
**Raw total energy**: -31.0 eV for the cell shown


Material: Ba2NbCl2
Method: DFT, PBE
State: optimized geometry

Cell: 6.3977 6.3977 8.7538 Å, 90.00 90.00 90.00°
Positions (direct):
Ba 0.0000 0.5000 0.2500
Ba 0.0000 0.5000 0.7500
Ba 0.5000 0.0000 0.2500
Ba 0.5000 0.0000 0.7500
Nb 0.0000 0.0000 0.0000
Nb 0.5000 0.5000 0.5000
Cl 0.0000 0.0000 0.2915
Cl 0.0000 0.0000 0.7085
Cl 0.5000 0.5000 0.2085
Cl 0.5000 0.5000 0.7915

**Crystal system**: tetragonal
**Formation energy from raw total energies**: -3.4 eV per formula unit
**Raw total energy**: -41.9 eV for the cell shown


Material: NaHfAl2Fe
Method: DFT, PBE
State: optimized geometry

Cell: 5.1522 5.1522 5.4114 Å, 90.00 90.00 90.00°
Positions (direct):
Na 0.0000 0.0000 0.0000
Hf 0.0000 0.0000 0.5000
Al 0.0000 0.5000 0.5000
Al 0.5000 0.0000 0.5000
Fe 0.5000 0.5000 0.0000

**Formation enthalpy at 0 K**: 1.917 eV per atom
**Crystal system**: tetragonal
**Raw total energy**: -17.6 eV for the cell shown


Material: CsK2Ba
Method: DFT, PBE
State: optimized geometry

Cell: 7.9054 7.9054 4.9927 Å, 90.00 90.00 90.00°
Positions (direct):
Cs 0.0000 0.0000 0.0000
K 0.0000 0.5000 0.5000
K 0.5000 0.0000 0.5000
Ba 0.5000 0.5000 0.0000

**Formation enthalpy at 0 K**: 0.101 eV per atom
**Crystal system**: tetragonal
**Raw total energy**: -4.6 eV for the cell shown


Material: TbPrEr5Sc2
Method: DFT, PBE
State: optimized geometry

Cell: 11.0444 11.0444 9.3135 Å, 90.00 90.00 150.85°
Positions (direct):
Tb 0.1900 0.8100 0.5000
Tb 0.8100 0.1900 0.0000
Pr 0.4030 0.5970 0.8961
Pr 0.5970 0.4030 0.3961
Er 0.0065 0.9935 0.5059
Er 0.2647 0.7353 0.8162
Er 0.3079 0.6921 0.2029
Er 0.3906 0.6094 0.5230
Er 0.4687 0.5313 0.2297
Er 0.5313 0.4687 0.7297
Er 0.6094 0.3906 0.0230
Er 0.6921 0.3079 0.7029
Er 0.7353 0.2647 0.3162
Er 0.9935 0.0065 0.0059
Sc 0.1132 0.8868 0.8044
Sc 0.1455 0.8545 0.1709
Sc 0.8545 0.1455 0.6709
Sc 0.8868 0.1132 0.3044

**Formation enthalpy at 0 K**: 0.173 eV per atom
**Crystal system**: orthorhombic
**Raw total energy**: -86.7 eV for the cell shown


Material: Na3Ac2HoO6
Method: DFT, PBE
State: optimized geometry

Cell: 6.4072 6.4072 6.0117 Å, 99.36 99.36 120.71°
Positions (direct):
Na 0.0000 0.0000 0.0000
Na 0.3564 0.6436 0.0000
Na 0.6436 0.3564 0.0000
Ac 0.1679 0.8321 0.5000
Ac 0.8321 0.1679 0.5000
Ho 0.5000 0.5000 0.5000
O 0.1260 0.4324 0.2848
O 0.2556 0.2556 0.7144
O 0.4324 0.1260 0.2848
O 0.5676 0.8740 0.7152
O 0.7444 0.7444 0.2856
O 0.8740 0.5676 0.7152

**Crystal system**: monoclinic
**Formation energy from raw total energies**: -31.3 eV per formula unit
**Raw total energy**: -77.8 eV for the cell shown


Material: Ca4Cd2InAg
Method: DFT, PBE
State: optimized geometry

Cell: 9.3888 9.3888 9.3888 Å, 33.29 33.29 33.29°
Positions (direct):
Ca 0.1229 0.1229 0.1229
Ca 0.3732 0.3732 0.3732
Ca 0.6268 0.6268 0.6268
Ca 0.8771 0.8771 0.8771
Cd 0.2478 0.2478 0.2478
Cd 0.7522 0.7522 0.7522
In 0.5000 0.5000 0.5000
Ag 0.0000 0.0000 0.0000

**Formation enthalpy at 0 K**: -0.377 eV per atom
**Crystal system**: trigonal
**Raw total energy**: -18.4 eV for the cell shown


Material: Sc2CrPt
Method: DFT, PBE
State: optimized geometry

Cell: 2.9206 2.9206 8.4276 Å, 90.00 90.00 90.00°
Positions (direct):
Sc 0.0000 0.0000 0.0000
Sc 0.5000 0.5000 0.3362
Cr 0.0000 0.0000 0.5642
Pt 0.5000 0.5000 0.7552

**Formation enthalpy at 0 K**: -0.160 eV per atom
**Crystal system**: tetragonal
**Raw total energy**: -29.0 eV for the cell shown


Material: YRuPb
Method: DFT, PBE
State: optimized geometry

Cell: 4.7374 4.7374 3.4901 Å, 90.00 90.00 120.00°
Positions (direct):
Y 0.0000 0.0000 0.0000
Ru 0.6667 0.3333 0.5000
Pb 0.3333 0.6667 0.5000

**Formation enthalpy at 0 K**: -0.133 eV per atom
**Crystal system**: hexagonal
**Raw total energy**: -19.8 eV for the cell shown


Material: Li2InCl3
Method: DFT, PBE
State: optimized geometry

Cell: 3.8534 3.8534 9.5785 Å, 90.00 90.00 90.00°
Positions (direct):
Li 0.0000 0.5000 0.1465
Li 0.5000 0.0000 0.8535
In 0.0000 0.0000 0.5000
Cl 0.0000 0.0000 0.0000
Cl 0.5000 0.5000 0.2985
Cl 0.5000 0.5000 0.7015

**Crystal system**: tetragonal
**Formation energy from raw total energies**: -8.7 eV per formula unit
**Raw total energy**: -20.8 eV for the cell shown


Material: SrC5
Method: DFT, PBE
State: optimized geometry

Cell: 4.5661 2.6344 15.6122 Å, 90.00 90.00 90.00°
Positions (direct):
Sr 0.0000 0.0000 0.0000
Sr 0.0000 0.5000 0.5000
C 0.0000 0.0000 0.3252
C 0.0000 0.0000 0.8198
C 0.0000 0.5000 0.3198
C 0.0000 0.5000 0.8252
C 0.5000 0.0000 0.1286
C 0.5000 0.0000 0.4973
C 0.5000 0.0000 0.5899
C 0.5000 0.5000 0.0899
C 0.5000 0.5000 0.6286
C 0.5000 0.5000 0.9973

**Formation enthalpy at 0 K**: 1.196 eV per atom
**Crystal system**: orthorhombic
**Raw total energy**: -81.2 eV for the cell shown


Material: Na2CaSi2
Method: DFT, PBE
State: optimized geometry

Cell: 4.3366 4.3366 13.0403 Å, 90.00 90.00 90.00°
Positions (direct):
Na 0.0000 0.5000 0.2500
Na 0.0000 0.5000 0.7500
Na 0.5000 0.0000 0.2500
Na 0.5000 0.0000 0.7500
Ca 0.0000 0.0000 0.0000
Ca 0.5000 0.5000 0.5000
Si 0.0000 0.0000 0.4136
Si 0.0000 0.0000 0.5864
Si 0.5000 0.5000 0.0864
Si 0.5000 0.5000 0.9136

**Crystal system**: tetragonal
**Formation energy from raw total energies**: -0.6 eV per formula unit
**Raw total energy**: -32.1 eV for the cell shown